A plane-wave DFT calculation with PBE-GGA was carried out for a relaxed Ir2PdSe crystal.

For the calculated volume, the calculation gives 344 Å³ per cell. As for the calculated density: 11.00 g cm⁻³. The calculation puts the size of the total moment at 0.00 μB per formula unit. As for the raw total energy: -92.43 eV/cell.

It has space group I-42d (No. 122), with a = 5.230 Å, b = 5.230 Å, c = 12.581 Å, α = 90.00°, β = 90.00° and γ = 90.00°. The distinct sites, in fractional coordinates, are Ir at (0.222, 0.250, 0.125), Pd at (0.000, 0.000, 0.500) and Se at (0.000, 0.000, 0.000).